# 1
## Ho2Re3Ru (PBE)

Data for crystalline Ho2Re3Ru at its relaxed geometry.

D(E_F) ... 4.67 states/eV/cell
Energy of formation from the pure elements ... -139 kJ/mol of formula units
V ... 18.5 A^3/atom
E ... -9.536 eV/atom

```
Ho2Re3Ru
1.0
4.554 -2.634 0.000
4.554 2.634 0.000
-3.045 0.000 4.619
Ho Re Ru
2 3 1
direct
0.126 0.126 0.377
0.874 0.874 0.623
0.000 0.500 0.000
0.500 0.000 0.000
0.500 0.500 0.000
0.500 0.500 0.500
```

=====

# 2
## HoReS (PBE)

Data for crystalline HoReS at its relaxed geometry.

D(E_F) ... 4.26 states/eV/cell
E_form (uncorrected) ... -0.8201 eV per atom
V ... 18.8 A^3/atom
E ... -7.871 eV/atom

```
HoReS
1.0
3.592 0.000 0.000
0.000 3.592 0.000
0.000 0.000 8.742
Ho Re S
2 2 2
direct
0.250 0.250 0.210
0.750 0.750 0.790
0.250 0.250 0.563
0.750 0.750 0.437
0.250 0.250 0.859
0.750 0.750 0.141
```

=====

# 3
## HoSc2Re (PBE)

Data for crystalline HoSc2Re at its relaxed geometry.

D(E_F) ... 5.53 states/eV/cell
Energy of formation from the pure elements ... 6 kJ/mol of formula units
V ... 22.9 A^3/atom
E ... -7.407 eV/atom

```
HoSc2Re
1.0
3.281 0.000 0.000
0.000 3.281 0.000
0.000 0.000 8.501
Ho Sc Re
1 2 1
direct
0.000 0.000 0.000
0.500 0.500 0.318
0.500 0.500 0.682
0.000 0.000 0.500
```

=====

# 4
## HoScRe4 (PBE)

Data for crystalline HoScRe4 at its relaxed geometry.

D(E_F) ... 7.35 states/eV/cell
Energy of formation from the pure elements ... -138 kJ/mol of formula units
V ... 18.0 A^3/atom
E ... -10.356 eV/atom

```
HoScRe4
1.0
0.000 3.781 3.781
3.781 0.000 3.781
3.781 3.781 0.000
Ho Sc Re
1 1 4
direct
0.000 0.000 0.000
0.750 0.750 0.750
0.375 0.375 0.375
0.375 0.375 0.874
0.375 0.874 0.375
0.874 0.375 0.375
```

=====

# 5
## HoRe4Se8 (PBE)

Data for crystalline HoRe4Se8 at its relaxed geometry.

D(E_F) ... 7.67 states/eV/cell
E_form (uncorrected) ... -0.1415 eV per atom
V ... 22.9 A^3/atom
E ... -6.468 eV/atom

```
HoRe4Se8
1.0
6.426 -3.716 0.000
6.426 3.716 0.000
-4.280 0.000 6.227
Ho Re Se
1 4 8
direct
0.000 0.000 0.000
0.000 0.000 0.500
0.000 0.500 0.500
0.500 0.000 0.500
0.500 0.500 0.500
0.242 0.242 0.726
0.250 0.738 0.726
0.262 0.262 0.274
0.262 0.750 0.274
0.738 0.250 0.726
0.738 0.738 0.726
0.750 0.262 0.274
0.758 0.758 0.274
```

=====

# 6
## HoReSi2 (PBE)

Data for crystalline HoReSi2 at its relaxed geometry.

D(E_F) ... 1.17 states/eV/cell
E_form (uncorrected) ... -0.0325 eV per atom
V ... 18.2 A^3/atom
E ... -7.001 eV/atom

```
HoReSi2
1.0
1.639 0.946 7.835
-1.639 0.946 7.835
0.000 -1.893 7.835
Ho Re Si
1 1 2
direct
0.000 0.000 0.000
0.500 0.500 0.500
0.236 0.236 0.236
0.764 0.764 0.764
```

=====

# 7
## Ho2Re3Si4 (PBE)

Data for crystalline Ho2Re3Si4 at its relaxed geometry.

D(E_F) ... 5.13 states/eV/cell
E_form (uncorrected) ... -0.3642 eV per atom
V ... 17.5 A^3/atom
E ... -7.941 eV/atom
Energy above the most stable polymorph in this dataset ... 21.66 kJ per mole of atoms

```
Ho2Re3Si4
1.0
0.000 4.689 6.241
2.684 0.000 6.241
2.684 4.689 0.000
Ho Re Si
2 3 4
direct
0.139 0.139 0.861
0.861 0.861 0.139
0.000 0.000 0.500
0.500 0.500 0.000
0.500 0.500 0.500
0.165 0.510 0.490
0.490 0.835 0.165
0.510 0.165 0.835
0.835 0.490 0.510
```

=====

# 8
## Ho2Re3Si4 (PBE)

Data for crystalline Ho2Re3Si4 at its relaxed geometry.

D(E_F) ... 7.12 states/eV/cell
E_form (uncorrected) ... -0.5887 eV per atom
V ... 16.2 A^3/atom
E ... -8.166 eV/atom
Energy above the most stable polymorph in this dataset ... 0.00 kJ per mole of atoms

```
Ho2Re3Si4
1.0
6.748 0.000 0.000
0.000 6.767 0.000
-2.370 0.000 6.382
Ho Re Si
4 6 8
direct
0.191 0.169 0.058
0.191 0.331 0.558
0.809 0.669 0.442
0.809 0.831 0.942
0.239 0.647 0.258
0.239 0.853 0.758
0.500 0.000 0.500
0.500 0.500 0.000
0.761 0.147 0.242
0.761 0.353 0.742
0.101 0.552 0.875
0.101 0.948 0.375
0.487 0.641 0.631
0.487 0.859 0.131
0.513 0.141 0.869
0.513 0.359 0.369
0.899 0.052 0.625
0.899 0.448 0.125
```

=====

# 9
## HoReSi2 (PBE)

Data for crystalline HoReSi2 at its relaxed geometry.

D(E_F) ... 9.18 states/eV/cell
E_form (uncorrected) ... -0.5722 eV per atom
V ... 17.6 A^3/atom
E ... -7.540 eV/atom

```
HoReSi2
1.0
7.158 0.000 0.000
0.000 3.971 0.000
0.000 0.000 9.903
Ho Re Si
4 4 8
direct
0.145 0.250 0.130
0.355 0.750 0.630
0.645 0.250 0.370
0.855 0.750 0.870
0.017 0.750 0.397
0.483 0.250 0.897
0.517 0.750 0.103
0.983 0.250 0.603
0.153 0.250 0.812
0.221 0.250 0.429
0.279 0.750 0.929
0.347 0.750 0.312
0.653 0.250 0.688
0.721 0.250 0.071
0.779 0.750 0.571
0.847 0.750 0.188
```

=====

# 10
## HoRe2Si4 (PBE)

Data for crystalline HoRe2Si4 at its relaxed geometry.

D(E_F) ... 10.10 states/eV/cell
E_form (uncorrected) ... -0.4949 eV per atom
V ... 15.7 A^3/atom
E ... -7.804 eV/atom

```
HoRe2Si4
1.0
16.280 0.000 0.000
0.000 4.081 0.000
0.000 0.000 6.636
Ho Re Si
4 8 16
direct
0.141 0.250 0.090
0.359 0.750 0.590
0.641 0.250 0.410
0.859 0.750 0.910
0.056 0.750 0.755
0.192 0.250 0.594
0.308 0.750 0.094
0.444 0.250 0.255
0.556 0.750 0.745
0.692 0.250 0.906
0.808 0.750 0.406
0.944 0.250 0.245
0.017 0.750 0.119
0.047 0.250 0.514
0.192 0.750 0.375
0.207 0.750 0.814
0.293 0.250 0.314
0.308 0.250 0.875
0.453 0.750 0.014
0.483 0.250 0.619
0.517 0.750 0.381
0.547 0.250 0.986
0.692 0.750 0.125
0.707 0.750 0.686
0.793 0.250 0.186
0.808 0.250 0.625
0.953 0.750 0.486
0.983 0.250 0.881
```

=====

# 11
## HoRe3Si2 (PBE)

Data for crystalline HoRe3Si2 at its relaxed geometry.

D(E_F) ... 7.02 states/eV/cell
E_form (uncorrected) ... -0.1031 eV per atom
V ... 16.6 A^3/atom
E ... -8.898 eV/atom

```
HoRe3Si2
1.0
-2.038 3.903 6.260
2.038 -3.903 6.260
2.038 3.903 -6.260
Ho Re Si
2 6 4
direct
0.128 0.128 0.000
0.872 0.872 0.000
0.105 0.312 0.793
0.347 0.000 0.347
0.482 0.688 0.793
0.518 0.312 0.207
0.653 0.000 0.653
0.895 0.688 0.207
0.186 0.500 0.686
0.313 0.813 0.500
0.687 0.187 0.500
0.814 0.500 0.314
```

=====

# 12
## HoReSi (PBE)

Data for crystalline HoReSi at its relaxed geometry.

D(E_F) ... 5.29 states/eV/cell
E_form (uncorrected) ... -0.3283 eV per atom
V ... 21.2 A^3/atom
E ... -7.811 eV/atom

```
HoReSi
1.0
4.904 -2.113 0.000
4.904 2.113 0.000
-1.090 0.000 6.147
Ho Re Si
2 2 2
direct
0.118 0.118 0.287
0.882 0.882 0.713
0.387 0.387 0.057
0.613 0.613 0.943
0.177 0.177 0.775
0.823 0.823 0.225
```

=====

# 13
## HoRe2Si3 (PBE)

Data for crystalline HoRe2Si3 at its relaxed geometry.

D(E_F) ... 8.22 states/eV/cell
E_form (uncorrected) ... -0.3055 eV per atom
V ... 17.2 A^3/atom
E ... -7.929 eV/atom

```
HoRe2Si3
1.0
2.130 -5.804 0.000
2.130 5.804 0.000
0.000 0.000 8.348
Ho Re Si
2 4 6
direct
0.190 0.810 0.750
0.810 0.190 0.250
0.000 0.000 0.000
0.000 0.000 0.500
0.462 0.538 0.750
0.538 0.462 0.250
0.133 0.867 0.250
0.384 0.616 0.032
0.384 0.616 0.468
0.616 0.384 0.532
0.616 0.384 0.968
0.867 0.133 0.750
```

=====

# 14
## SmHoRe4 (PBE)

Data for crystalline SmHoRe4 at its relaxed geometry.

D(E_F) ... 7.95 states/eV/cell
Energy of formation from the pure elements ... -65 kJ/mol of formula units
V ... 19.0 A^3/atom
E ... -9.961 eV/atom

```
SmHoRe4
1.0
0.000 3.849 3.849
3.849 0.000 3.849
3.849 3.849 0.000
Sm Ho Re
1 1 4
direct
0.000 0.000 0.000
0.250 0.250 0.250
0.125 0.625 0.625
0.625 0.125 0.625
0.625 0.625 0.125
0.625 0.625 0.625
```

=====

# 15
## SmHoRe (PBE)

Data for crystalline SmHoRe at its relaxed geometry.

D(E_F) ... 8.13 states/eV/cell
Energy of formation from the pure elements ... 89 kJ/mol of formula units
V ... 29.8 A^3/atom
E ... -6.940 eV/atom

```
SmHoRe
1.0
-2.131 2.737 7.677
2.131 -2.737 7.677
2.131 2.737 -7.677
Sm Ho Re
2 2 2
direct
0.329 0.079 0.250
0.671 0.921 0.750
0.099 0.349 0.750
0.901 0.651 0.250
0.463 0.713 0.750
0.537 0.287 0.250
```

=====

# 16
## HoReSn (PBE)

Data for crystalline HoReSn at its relaxed geometry.

D(E_F) ... 5.28 states/eV/cell
Energy of formation from the pure elements ... 12 kJ/mol of formula units
V ... 23.7 A^3/atom
E ... -6.968 eV/atom

```
HoReSn
1.0
3.649 0.000 0.000
0.000 3.649 0.000
0.000 0.000 10.690
Ho Re Sn
2 2 2
direct
0.250 0.250 0.229
0.750 0.750 0.771
0.250 0.750 0.000
0.750 0.250 0.000
0.250 0.250 0.581
0.750 0.750 0.419
```

=====

# 17
## TbHoRe4 (PBE)

Data for crystalline TbHoRe4 at its relaxed geometry.

D(E_F) ... 7.79 states/eV/cell
Energy of formation from the pure elements ... -101 kJ/mol of formula units
V ... 18.8 A^3/atom
E ... -10.008 eV/atom

```
TbHoRe4
1.0
0.000 3.833 3.833
3.833 0.000 3.833
3.833 3.833 0.000
Tb Ho Re
1 1 4
direct
0.000 0.000 0.000
0.750 0.750 0.750
0.375 0.375 0.375
0.375 0.375 0.875
0.375 0.875 0.375
0.875 0.375 0.375
```

=====

# 18
## TbHoRe (PBE)

Data for crystalline TbHoRe at its relaxed geometry.

D(E_F) ... 6.15 states/eV/cell
Energy of formation from the pure elements ... 53 kJ/mol of formula units
V ... 27.4 A^3/atom
E ... -7.036 eV/atom

```
TbHoRe
1.0
4.792 0.000 0.000
0.000 4.792 0.000
0.000 0.000 7.153
Tb Ho Re
2 2 2
direct
0.250 0.250 0.238
0.750 0.750 0.762
0.250 0.250 0.771
0.750 0.750 0.229
0.250 0.750 0.000
0.750 0.250 0.000
```

=====

# 19
## TbHo2Re (PBE)

Data for crystalline TbHo2Re at its relaxed geometry.

D(E_F) ... 5.25 states/eV/cell
Energy of formation from the pure elements ... 301 kJ/mol of formula units
V ... 25.3 A^3/atom
E ... -5.779 eV/atom

```
TbHo2Re
1.0
1.607 0.928 11.306
-1.607 0.928 11.306
0.000 -1.856 11.306
Tb Ho Re
1 2 1
direct
0.000 0.000 0.000
0.421 0.421 0.421
0.579 0.579 0.579
0.500 0.500 0.500
```

=====

# 20
## HoReTc (PBE)

Data for crystalline HoReTc at its relaxed geometry.

D(E_F) ... 10.26 states/eV/cell
Energy of formation from the pure elements ... -64 kJ/mol of formula units
V ... 18.5 A^3/atom
E ... -9.351 eV/atom
Energy above the most stable polymorph in this dataset ... 0.00 kJ per mole of atoms

```
HoReTc
1.0
8.732 0.000 0.000
0.000 2.695 4.715
0.000 -2.695 4.715
Ho Re Tc
4 4 4
direct
0.188 0.000 0.000
0.312 0.333 0.333
0.688 0.333 0.333
0.812 0.000 0.000
0.000 0.007 0.495
0.000 0.495 0.007
0.251 0.667 0.667
0.749 0.667 0.667
0.000 0.494 0.494
0.500 0.322 0.839
0.500 0.838 0.838
0.500 0.839 0.322
```